The following is a DFT calculation (PBE-GGA) of crystalline Mg3SnHg6 at its relaxed geometry.

Lattice parameters (Å, degrees): 4.739 8.446 13.156 90.00 111.02 90.00
Space group P2_1/c (No. 14)
Inequivalent atoms, fractional coordinates:
Mg (0.000, 0.000, 0.000) (multiplicity 2)
Mg (0.143, 0.151, 0.644) (multiplicity 4)
Sn (0.500, 0.000, 0.500) (multiplicity 2)
Hg (0.124, 0.703, 0.124) (multiplicity 4)
Hg (0.243, 0.021, 0.243) (multiplicity 4)
Hg (0.410, 0.647, 0.409) (multiplicity 4)

Output
* total energy: -22.79 eV/cell
* total moment: 0.0000 μB/atom
* crystal system: monoclinic